VASP calculation (PBE with a Hubbard U) on a geometry-optimized Sb2WO8 structure.

Cell: 5.565 7.346 5.016 Å, 130.70 74.13 101.97°
Sites, in units of the cell vectors:
1 O 0.936 0.590 0.877
2 O 0.450 0.708 0.936
3 O 0.827 0.931 0.646
4 O 0.550 0.292 0.064
5 O 0.064 0.410 0.123
6 O 0.173 0.069 0.354
7 O 0.687 0.139 0.364
8 O 0.313 0.861 0.636
9 Sb 0.130 0.733 0.260
10 Sb 0.870 0.267 0.740
11 W 0.500 0.000 0.000

Results
Final energy: -0.2352 hartree per atom
D(E_F): 0.0000 states/eV/atom